(1)
Here is a geometry-optimized Pm2Al6NiPd structure from the Alexandria database. Energies are from PBE-GGA.

Cell: 6.601 6.601 6.589 Å, 60.01 60.00 90.06°
Sites, in units of the cell vectors:
Pm (0.250, 0.750, 0.500)
Pm (0.750, 0.250, 0.500)
Al (0.258, 0.742, 0.000)
Al (0.742, 0.742, 0.000)
Al (0.259, 0.259, 0.483)
Al (0.742, 0.258, 0.000)
Al (0.258, 0.258, 0.000)
Al (0.741, 0.741, 0.517)
Ni (0.500, 0.500, 0.000)
Pd (0.000, 0.000, 0.000)

Values from the calculation:
The space group is I4/mmm. As for the formation energy from the elements: -0.36 eV/atom.


(2)
Here is a geometry-optimized NaInAg2 structure from the Alexandria database. Energies are from PBE-GGA.

Cell: 3.960 4.602 4.602 Å, 90.00 90.00 90.00°
Sites, in units of the cell vectors:
Na (0.500, 0.000, 0.000)
Ag (0.000, 0.000, 0.500)
Ag (0.000, 0.500, 0.000)
In (0.500, 0.500, 0.500)

Values from the calculation:
The space group is P4/mmm. As for the formation energy from the elements: -0.03 eV/atom.


(3)
Here is a geometry-optimized ZnWI2N structure from the Alexandria database. Energies are from PBE-GGA.

Cell: 5.665 5.665 3.599 Å, 90.00 90.00 90.00°
Sites, in units of the cell vectors:
I (0.000, 0.500, 0.000)
I (0.500, 0.000, 0.000)
Zn (0.000, 0.000, 0.000)
W (0.500, 0.500, 0.500)
N (0.000, 0.000, 0.500)

Values from the calculation:
The space group is P4/mmm. For the energy relative to the elements, uncorrected, the calculation gives 37.3 kcal/mol of atoms. Its offset from the most stable computed form is 6.09 eV/f.u.


(4)
Here is a geometry-optimized Sm3Y2Ni2 structure from the Alexandria database. Energies are from PBE-GGA.

Cell: 3.705 6.338 8.682 Å, 100.95 102.32 107.00°
Sites, in units of the cell vectors:
Sm (0.500, 0.000, 0.000)
Sm (0.184, 0.800, 0.569)
Sm (0.816, 0.200, 0.431)
Y (0.642, 0.474, 0.809)
Y (0.358, 0.526, 0.191)
Ni (0.063, 0.894, 0.232)
Ni (0.937, 0.106, 0.768)

Values from the calculation:
The space group is C2/m. As for the formation energy from the elements: -0.21 eV/atom.


Calculated density in g/cm3, matching the order above: 5.0, 7.0, 7.4, 6.8